The following is a PBE-GGA calculation of LiTb3Al8 after structural relaxation, from the Alexandria database.

Cell lengths 5.5334, 5.5334, 27.1376 Å; angles 90.00, 90.00, 120.00 degrees
Space group R3m (No. 160, hexagonal axes)
Inequivalent atoms, fractional coordinates:
Li 0.0000 0.0000 0.0000
Tb 0.0000 0.0000 0.1221
Tb 0.0000 0.0000 0.5006
Tb 0.0000 0.0000 0.6286
Al 0.0000 0.0000 0.3137
Al 0.0000 0.0000 0.8134
Al 0.0013 0.5006 0.0640
Al 0.1672 0.3344 0.8969

---

The following is a PBE-GGA calculation of LiTb2Al3 after structural relaxation, from the Alexandria database.

Cell lengths 5.6494, 5.6494, 8.9574 Å; angles 90.00, 90.00, 120.00 degrees
Space group P6_3/mmc (No. 194)
Inequivalent atoms, fractional coordinates:
Li 0.0000 0.0000 0.0000
Tb 0.3333 0.6667 0.0723
Al 0.1695 0.3389 0.7500

## Properties
polymorph energy (0 for the lowest one) = 0 meV/atom

---

The following is a PBE-GGA calculation of LiTbAl2 after structural relaxation, from the Alexandria database.

Cell lengths 5.3012, 6.9399, 4.4797 Å; angles 90.00, 90.00, 90.00 degrees
Space group Cmmm (No. 65)
Inequivalent atoms, fractional coordinates:
Li 0.0000 0.0000 0.0000
Tb 0.0000 0.5000 0.0000
Al 0.0000 0.1905 0.5000

## Properties
polymorph energy (0 for the lowest one) = 265 meV/atom

---

The following is a PBE-GGA calculation of LiTb2Al3 after structural relaxation, from the Alexandria database.

Cell lengths 7.0707, 9.2364, 16.0228 Å; angles 90.00, 90.00, 90.00 degrees
Space group Fmmm (No. 69)
Inequivalent atoms, fractional coordinates:
Li 0.0000 0.0000 0.1680
Tb 0.2455 0.0000 0.0000
Tb 0.2500 0.2500 0.2500
Al 0.0000 0.0000 0.3341
Al 0.0000 0.2480 0.4163

## Properties
polymorph energy (0 for the lowest one) = 32 meV/atom

---

| no. | calculated formation energy (eV/atom) | D(E_F) (states/eV/cell) |
| --- | --- | --- |
| 1 | -0.40 | 19.71 |
| 2 | -0.39 | 6.12 |
| 3 | 0.00 | 4.43 |
| 4 | -0.36 | 30.56 |